YHfInNi: optimized geometry, GGA-PBE.

Values from the calculation:
The calculation puts the total energy at -6.01 eV/atom.

CIF file:
```
data_YHfInNi
_cell_length_a 6.939
_cell_length_b 6.939
_cell_length_c 6.939
_cell_angle_alpha 90.00
_cell_angle_beta 90.00
_cell_angle_gamma 90.00
_symmetry_space_group_name_H-M 'F -4 3 m'
_symmetry_Int_Tables_number 216
_symmetry_space_group_name_Hall 'F -4 2 3'
loop_
_atom_site_label
_atom_site_fract_x
_atom_site_fract_y
_atom_site_fract_z
Y1 0.000 0.000 0.000
Hf1 0.250 0.250 0.250
In1 0.000 0.000 0.500
Ni1 0.250 0.250 0.750
```